1.
A plane-wave DFT calculation with PBE-GGA was carried out for a relaxed structure of Na9Cd2Ag.

Cell lengths 9.4655, 6.3786, 6.3351 Å; angles 97.47, 102.23, 91.33 degrees
With the nearest neighbours (Å) after each atom.
Fractional coordinates of all 12 atoms:
1 Na 0.4028 0.2308 0.9199  1 Cd 3.24, 2 Na 3.61-3.62
2 Na 0.5972 0.7692 0.0801  1 Cd 3.24, 2 Na 3.61-3.62
3 Na 0.5000 0.5000 0.5000  12 Na 3.53-3.77
4 Na 0.8649 0.5636 0.7869  1 Ag 3.06, 1 Cd 3.24, 1 Na 3.36
5 Na 0.7086 0.0280 0.6536  1 Ag 3.16, 1 Cd 3.36, 1 Na 3.46
6 Na 0.2052 0.7087 0.7693  1 Ag 3.17, 1 Na 3.36, 3 Cd 3.44-3.48
7 Na 0.1351 0.4364 0.2131  1 Ag 3.06, 1 Cd 3.24, 1 Na 3.36
8 Na 0.7948 0.2913 0.2307  1 Ag 3.17, 1 Na 3.36, 3 Cd 3.44-3.48
9 Na 0.2914 0.9720 0.3464  1 Ag 3.16, 1 Cd 3.36, 1 Na 3.46
10 Cd 0.0691 0.1922 0.6510  1 Ag 2.85, 1 Cd 2.99
11 Cd 0.9309 0.8078 0.3490  1 Ag 2.85, 1 Cd 2.99
12 Ag 0.0000 0.0000 0.0000  2 Cd 2.85, 6 Na 3.06-3.17

Properties
Total magnetization   0.00 μB/cell
SG   P-1, No. 2
Calculated total energy   -1.406 eV/atom
Energy of formation from the pure elements   -0.027 eV per atom
Calculated volume   30.844 Å³ per atom

---

2.
A plane-wave DFT calculation with PBE-GGA was carried out for a relaxed structure of NdDy4Cu.

Cell lengths 3.5410, 3.5410, 13.7032 Å; angles 90.00, 90.00, 90.00 degrees
With the nearest neighbours (Å) after each atom.
Fractional coordinates of all 6 atoms:
1 Nd 0.0000 0.0000 0.0000  4 Nd 3.54, 8 Dy 3.59
2 Dy 0.5000 0.5000 0.1882  8 Dy 3.54-3.60, 4 Nd 3.59
3 Dy 0.0000 0.0000 0.6229  4 Cu 3.02, 1 Dy 3.37
4 Dy 0.0000 0.0000 0.3771  4 Cu 3.02, 1 Dy 3.37
5 Dy 0.5000 0.5000 0.8118  8 Dy 3.54-3.60, 4 Nd 3.59
6 Cu 0.5000 0.5000 0.5000  8 Dy 3.02

Properties
Total magnetization   0.00 μB/cell
SG   P4/mmm, No. 123
Calculated total energy   -4.597 eV/atom
Energy of formation from the pure elements   -0.051 eV per atom
Calculated volume   28.636 Å³ per atom

---

3.
A plane-wave DFT calculation with PBE-GGA was carried out for a relaxed structure of PmPr5Dy6.

Cell lengths 11.8851, 6.2963, 6.2963 Å; angles 60.00, 84.95, 79.86 degrees
With the nearest neighbours (Å) after each atom.
Fractional coordinates of all 12 atoms:
1 Pm 0.0000 0.0000 0.0000  6 Dy 3.59-3.60, 6 Pr 3.63-3.64
2 Pr 0.5000 0.1667 0.6666  6 Dy 3.60-3.61, 6 Pr 3.63-3.64
3 Pr 0.0000 0.3334 0.3332  6 Dy 3.60, 3 Pr 3.63-3.64, 3 Pm 3.63-3.64
4 Pr 0.5000 0.5000 0.0000  6 Dy 3.60-3.61, 6 Pr 3.63-3.64
5 Pr 0.0000 0.6666 0.6668  6 Dy 3.60, 3 Pr 3.63-3.64, 3 Pm 3.63-3.64
6 Pr 0.5000 0.8333 0.3334  6 Dy 3.60-3.61, 6 Pr 3.63-3.64
7 Dy 0.7505 0.0829 0.3331  1 Pm 3.59, 5 Pr 3.60-3.61, 6 Dy 3.63-3.64
8 Dy 0.2495 0.5840 0.3331  1 Pm 3.59, 5 Pr 3.60-3.61, 6 Dy 3.63-3.64
9 Dy 0.2496 0.2501 0.0000  1 Pm 3.60, 5 Pr 3.60, 6 Dy 3.63-3.64
10 Dy 0.7504 0.7499 0.0000  1 Pm 3.60, 5 Pr 3.60, 6 Dy 3.63-3.64
11 Dy 0.7505 0.4160 0.6669  1 Pm 3.59, 5 Pr 3.60-3.61, 6 Dy 3.63-3.64
12 Dy 0.2495 0.9171 0.6669  1 Pm 3.59, 5 Pr 3.60-3.61, 6 Dy 3.63-3.64

Properties
Total magnetization   0.00 μB/cell
SG   C2/m, No. 12
Calculated total energy   -4.677 eV/atom
Energy of formation from the pure elements   0.011 eV per atom
Polymorph energy (0 for the lowest one)   0 meV per atom
Calculated volume   33.472 Å³ per atom